Compound: Li4MgIn
Source: Alexandria
Functional: GGA-PBE
Structure: optimized geometry

## Properties
Electronic total energy = -2.18 eV/atom
ΔH_f (0 K) = -185 meV/atom
Fermi-level density of states = 6.63 states/eV per cell
Relative energy among the computed polymorphs = 0.000 eV per atom
SG = Cmcm, No. 63

Cell lengths 4.7011, 5.8652, 8.7045 Å; angles 70.31, 90.00, 90.00 degrees
Fractional positions:
Li: 0.2500 0.7693 0.4169
Li: 0.2500 0.9526 0.0837
Li: 0.7500 0.6863 0.5831
Li: 0.7500 0.5363 0.9163
Li: 0.7500 0.2307 0.5831
Li: 0.2500 0.3137 0.4169
Li: 0.7500 0.0474 0.9163
Li: 0.2500 0.4637 0.0837
Mg: 0.7500 0.1171 0.2659
Mg: 0.2500 0.8829 0.7341
In: 0.7500 0.6313 0.2375
In: 0.2500 0.3687 0.7625